[1]
# PBEsol MgNiP, optimized geometry
# E: -4.753 eV/atom
# DFT formation energy: -0.20 eV/atom
# Fermi-level density of states: 1.76 states/eV per cell
# Total moment: 0.0 μB/cell
data_MgNiP
_space_group_name_H-M_alt 'P 1'
_space_group_IT_number 1
_cell_length_a 3.006
_cell_length_b 3.006
_cell_length_c 5.626
_cell_angle_alpha 90.00
_cell_angle_beta 90.00
_cell_angle_gamma 120.00
loop_
_space_group_symop_operation_xyz
'x,y,z'
loop_
_atom_site_label
_atom_site_type_symbol
_atom_site_fract_x
_atom_site_fract_y
_atom_site_fract_z
_atom_site_occupancy
Mg1 Mg 0.000 0.000 0.000 1
Ni1 Ni 0.333 0.667 0.628 1
P1 P 0.667 0.333 0.388 1

[2]
# PBEsol LaMg2Sn2, optimized geometry
# E: -3.956 eV/atom
# DFT formation energy: -0.50 eV/atom
# Fermi-level density of states: 2.63 states/eV per cell
# Total moment: 0.0 μB/cell
data_LaMg2Sn2
_space_group_name_H-M_alt 'P 1'
_space_group_IT_number 1
_cell_length_a 7.145
_cell_length_b 7.145
_cell_length_c 7.145
_cell_angle_alpha 143.21
_cell_angle_beta 143.21
_cell_angle_gamma 53.01
loop_
_space_group_symop_operation_xyz
'x,y,z'
loop_
_atom_site_label
_atom_site_type_symbol
_atom_site_fract_x
_atom_site_fract_y
_atom_site_fract_z
_atom_site_occupancy
La1 La 0.000 0.000 0.000 1
Mg1 Mg 0.250 0.750 0.500 1
Mg2 Mg 0.750 0.250 0.500 1
Sn1 Sn 0.390 0.390 0.000 1
Sn2 Sn 0.610 0.610 0.000 1